## Pm15PrSc4 (PBE-GGA)

Data for a relaxed structure of Pm15PrSc4.

Cell lengths 5.0567, 5.0567, 25.2426 Å; angles 90.00, 90.00, 90.00 degrees
Element x y z (fractional)
Pm  0.5000  0.5000  0.0000
Pm  0.5000  0.5000  0.2046
Pm  0.5000  0.5000  0.4013
Pm  0.5000  0.5000  0.5987
Pm  0.5000  0.5000  0.7954
Pm  0.5000  0.0000  0.1051
Pm  0.5000  0.0000  0.3026
Pm  0.5000  0.0000  0.5000
Pm  0.5000  0.0000  0.6974
Pm  0.5000  0.0000  0.8949
Pm  0.0000  0.5000  0.1051
Pm  0.0000  0.5000  0.3026
Pm  0.0000  0.5000  0.5000
Pm  0.0000  0.5000  0.6974
Pm  0.0000  0.5000  0.8949
Pr  0.0000  0.0000  0.0000
Sc  0.0000  0.0000  0.2040
Sc  0.0000  0.0000  0.4013
Sc  0.0000  0.0000  0.5987
Sc  0.0000  0.0000  0.7960

Values from the calculation:
As for the space group: No. 123. As for the energy of formation: 33 meV per atom. As for the crystal system: tetragonal. The total moment comes out at 0.00 μB/f.u. As for the uncorrected energy: -5.035 eV per atom. The density of states at the Fermi level is 1.323 states/eV per atom.

---

## Pm5Pr6Sc2 (PBE-GGA)

Data for a relaxed structure of Pm5Pr6Sc2.

Cell lengths 3.5453, 10.9408, 23.0221 Å; angles 90.00, 90.00, 90.00 degrees
Element x y z (fractional)
Pm  0.5000  0.3333  0.4957
Pm  0.5000  0.6667  0.5043
Pm  0.5000  0.8333  0.0043
Pm  0.5000  0.1667  0.9957
Pm  0.5000  0.5841  0.2511
Pm  0.5000  0.4159  0.7489
Pm  0.5000  0.0841  0.2489
Pm  0.5000  0.9159  0.7511
Pm  0.5000  0.5000  0.0000
Pm  0.5000  0.0000  0.5000
Pr  0.0000  0.1427  0.3833
Pr  0.0000  0.8573  0.6167
Pr  0.0000  0.6427  0.1167
Pr  0.0000  0.3573  0.8833
Pr  0.5000  0.3339  0.1388
Pr  0.5000  0.6661  0.8612
Pr  0.5000  0.8339  0.3612
Pr  0.5000  0.1661  0.6388
Pr  0.0000  0.5233  0.3863
Pr  0.0000  0.4767  0.6137
Pr  0.0000  0.0233  0.1137
Pr  0.0000  0.9767  0.8863
Sc  0.0000  0.3337  0.2695
Sc  0.0000  0.6663  0.7305
Sc  0.0000  0.8337  0.2305
Sc  0.0000  0.1663  0.7695

Values from the calculation:
As for the space group: No. 55. As for the energy of formation: 140 meV per atom. As for the crystal system: orthorhombic. The total moment comes out at 0.00 μB/f.u. As for the uncorrected energy: -4.868 eV per atom. The density of states at the Fermi level is 1.450 states/eV per atom.

---

## PmPr9Sc2 (PBE-GGA)

Data for a relaxed structure of PmPr9Sc2.

Cell lengths 5.1288, 5.1288, 15.4356 Å; angles 90.00, 90.00, 90.00 degrees
Element x y z (fractional)
Pm  0.0000  0.0000  0.0000
Pr  0.5000  0.5000  0.0000
Pr  0.5000  0.5000  0.3368
Pr  0.5000  0.5000  0.6632
Pr  0.5000  0.0000  0.1725
Pr  0.5000  0.0000  0.5000
Pr  0.5000  0.0000  0.8275
Pr  0.0000  0.5000  0.1725
Pr  0.0000  0.5000  0.5000
Pr  0.0000  0.5000  0.8275
Sc  0.0000  0.0000  0.3363
Sc  0.0000  0.0000  0.6637

Values from the calculation:
As for the space group: No. 123. As for the energy of formation: 33 meV per atom. As for the crystal system: tetragonal. The total moment comes out at 0.00 μB/f.u. As for the uncorrected energy: -5.002 eV per atom. The density of states at the Fermi level is 1.540 states/eV per atom.

---

## Pm6PrSc6 (PBE-GGA)

Data for a relaxed structure of Pm6PrSc6.

Cell lengths 6.4103, 6.4062, 10.8655 Å; angles 90.00, 90.00, 116.35 degrees
Element x y z (fractional)
Pm  0.0000  0.0000  0.6678
Pm  0.0000  0.0000  0.3322
Pm  0.3540  0.6485  0.0000
Pm  0.6460  0.3515  0.0000
Pm  0.2892  0.7102  0.5000
Pm  0.7108  0.2898  0.5000
Pr  0.0000  0.0000  0.0000
Sc  0.0000  0.5000  0.7700
Sc  0.5000  0.0000  0.7692
Sc  0.5000  0.5000  0.7151
Sc  0.5000  0.0000  0.2308
Sc  0.0000  0.5000  0.2300
Sc  0.5000  0.5000  0.2849

Values from the calculation:
As for the space group: No. 10. As for the energy of formation: 198 meV per atom. As for the crystal system: monoclinic. The total moment comes out at 0.01 μB/f.u. As for the uncorrected energy: -5.285 eV per atom. The density of states at the Fermi level is 1.977 states/eV per atom.

---

## Pm12Pr6Sc (PBE-GGA)

Data for a relaxed structure of Pm12Pr6Sc.

Cell lengths 8.7233, 8.7233, 8.7233 Å; angles 89.53, 89.53, 89.53 degrees
Element x y z (fractional)
Pm  0.7808  0.5336  0.4382
Pm  0.4382  0.7808  0.5336
Pm  0.5336  0.4382  0.7808
Pm  0.2192  0.4664  0.5618
Pm  0.5618  0.2192  0.4664
Pm  0.4664  0.5618  0.2192
Pm  0.0190  0.1878  0.3576
Pm  0.8122  0.6424  0.9810
Pm  0.6424  0.9810  0.8122
Pm  0.9810  0.8122  0.6424
Pm  0.1878  0.3576  0.0190
Pm  0.3576  0.0190  0.1878
Pr  0.7377  0.9061  0.2979
Pr  0.7021  0.2623  0.0939
Pr  0.0939  0.7021  0.2623
Pr  0.2623  0.0939  0.7021
Pr  0.2979  0.7377  0.9061
Pr  0.9061  0.2979  0.7377
Sc  0.0000  0.0000  0.0000

Values from the calculation:
As for the space group: No. 148. As for the energy of formation: 131 meV per atom. As for the crystal system: trigonal. The total moment comes out at 0.00 μB/f.u. As for the uncorrected energy: -4.712 eV per atom. The density of states at the Fermi level is 1.641 states/eV per atom.

---

## Pm3PrSc2 (PBE-GGA)

Data for a relaxed structure of Pm3PrSc2.

Cell lengths 7.1350, 6.1685, 9.4419 Å; angles 102.49, 112.20, 90.00 degrees
Element x y z (fractional)
Pm  0.8689  0.2500  0.0000
Pm  0.1311  0.7500  0.0000
Pm  0.0460  0.0340  0.3412
Pm  0.7049  0.4660  0.6588
Pm  0.2951  0.5340  0.3412
Pm  0.9540  0.9660  0.6588
Pr  0.6228  0.7500  0.0000
Pr  0.3772  0.2500  0.0000
Sc  0.7926  0.5256  0.3378
Sc  0.5452  0.0256  0.3378
Sc  0.4548  0.9744  0.6622
Sc  0.2074  0.4744  0.6622

Values from the calculation:
As for the space group: No. 15. As for the energy of formation: 38 meV per atom. As for the crystal system: monoclinic. The total moment comes out at 0.00 μB/f.u. As for the uncorrected energy: -5.244 eV per atom. The density of states at the Fermi level is 1.444 states/eV per atom.